Here is a relaxed structure of Ru2PbAu from the Alexandria database. Energies are from GGA-PBE.

Cell and atoms, written as POSCAR:
```
Ru2PbAu
1.0
2.941 0.000 0.000
0.000 2.941 0.000
0.000 0.000 8.550
Ru Pb Au
2 1 1
Direct
0.000 0.000 0.000
0.500 0.500 0.179
0.500 0.500 0.733
0.000 0.000 0.416
```

Computed properties:
Crystal system = tetragonal
Magnetic moment = 0.0 μB per formula unit
DFT formation energy = 0.349 eV per atom
Raw total energy = -6.04 eV/atom